DFT (PBE-GGA) results for an optimized crystal structure of MnPt.

Calculated values
Formation energy from the elements = -0.017 eV per atom
M_tot = 0.000 μB/cell
Total DFT energy (no corrections) = -15.2 eV per formula unit

Cell and atoms, written as CIF:
```
data_MnPt
_symmetry_space_group_name_H-M 'P -3 m 1'
_symmetry_Int_Tables_number 164
_symmetry_space_group_name_Hall '-P 3 2"'
_cell_length_a 2.6877
_cell_length_b 2.6877
_cell_length_c 8.5619
_cell_angle_alpha 90.00
_cell_angle_beta 90.00
_cell_angle_gamma 120.00
loop_
_atom_site_label
_atom_site_fract_x
_atom_site_fract_y
_atom_site_fract_z
Mn1 0.3333 0.6667 0.3947
Pt1 0.3333 0.6667 0.8529
```

---

DFT (PBE-GGA) results for an optimized crystal structure of Mn3Pt4.

Calculated values
Formation energy from the elements = -0.281 eV per atom
M_tot = 26.131 μB/cell
E above lowest polymorph = 0.0 kJ/mol of formula units
Total DFT energy (no corrections) = -53.6 eV per formula unit

Cell and atoms, written as CIF:
```
data_Mn3Pt4
_symmetry_space_group_name_H-M 'C 1 2/m 1'
_symmetry_Int_Tables_number 12
_cell_length_a 7.423
_cell_length_b 4.493
_cell_length_c 7.013
_cell_angle_alpha 90.00
_cell_angle_beta 114.21
_cell_angle_gamma 90.00
loop_
_symmetry_equiv_pos_as_xyz
'x,y,z'
'-x,-y,-z'
'-x,y,-z'
'x,-y,z'
'x+1/2,y+1/2,z'
'-x+1/2,-y+1/2,-z'
'-x+1/2,y+1/2,-z'
'x+1/2,-y+1/2,z'
loop_
_atom_site_label
_atom_site_fract_x
_atom_site_fract_y
_atom_site_fract_z
Mn1 0.000 0.000 0.000
Mn2 0.066 0.500 0.715
Pt1 0.138 0.000 0.405
Pt2 0.214 0.500 0.136
```